Arrangement 1

Crystalline RbAs2IrSe at its relaxed geometry. Source: Alexandria via LeMat-Bulk, functional GGA-PBE.

a = 5.447 Å, b = 5.447 Å, c = 5.515 Å
α = 90.00°, β = 90.00°, γ = 90.00°
Last column: magnetic moment on the atom in μB.
Fractional coordinates of all 5 atoms:
As (0.000, 0.500, 0.000)  -0.08
Ir (0.500, 0.500, 0.500)  1.76
Se (0.000, 0.000, 0.500)  0.10
As (0.500, 0.000, 0.000)  -0.08
Rb (0.000, 0.000, 0.000)  0.01

## Properties
- DOS at the Fermi energy (states/eV/f.u.) = 7.5
- SG = P4/mmm, No. 123

***

Arrangement 2

Crystalline RbAs2IrSe at its relaxed geometry. Source: Alexandria via LeMat-Bulk, functional GGA-PBE.

a = 4.776 Å, b = 4.776 Å, c = 5.803 Å
α = 90.00°, β = 90.00°, γ = 90.00°
Fractional coordinates of all 5 atoms:
Rb (0.500, 0.500, 0.500)
As (0.500, 0.000, 0.000)
As (0.000, 0.500, 0.000)
Ir (0.000, 0.000, 0.000)
Se (0.000, 0.000, 0.500)

## Properties
- DOS at the Fermi energy (states/eV/f.u.) = 4.2
- SG = P4/mmm, No. 123

***

Verdict on stability: arrangement 1 comes out at the bottom.

***

Arrangement 1

Crystalline NiSb2Cl at its relaxed geometry. Source: Alexandria via LeMat-Bulk, functional GGA-PBE.

a = 3.306 Å, b = 3.236 Å, c = 8.194 Å
α = 79.62°, β = 90.00°, γ = 90.00°
Fractional coordinates of all 4 atoms:
Sb (0.000, 0.316, 0.552)
Cl (0.500, 0.250, 0.250)
Sb (0.000, 0.184, 0.948)
Ni (0.500, 0.750, 0.750)

## Properties
- DOS at the Fermi energy (states/eV/f.u.) = 1.3
- SG = P2/m, No. 10

***

Arrangement 2

Crystalline NiSb2Cl at its relaxed geometry. Source: Alexandria via LeMat-Bulk, functional GGA-PBE.

a = 4.015 Å, b = 4.015 Å, c = 7.989 Å
α = 105.41°, β = 105.41°, γ = 60.07°
Fractional coordinates of all 4 atoms:
Ni (0.250, 0.250, 0.250)
Sb (0.864, 0.864, 0.101)
Sb (0.636, 0.636, 0.399)
Cl (0.750, 0.750, 0.750)

## Properties
- DOS at the Fermi energy (states/eV/f.u.) = 1.6
- SG = C2/m, No. 12

***

Verdict on stability: arrangement 1 comes out at the bottom.

***

Arrangement 1

Crystalline KSrCu at its relaxed geometry. Source: Alexandria via LeMat-Bulk, functional GGA-PBE.

a = 4.420 Å, b = 4.420 Å, c = 7.734 Å
α = 90.00°, β = 90.00°, γ = 120.00°
Fractional coordinates of all 3 atoms:
Cu (0.000, 0.000, 0.980)
Sr (0.333, 0.667, 0.761)
K (0.667, 0.333, 0.259)

## Properties
- DOS at the Fermi energy (states/eV/f.u.) = 1.4
- SG = P3m1, No. 156

***

Arrangement 2

Crystalline KSrCu at its relaxed geometry. Source: Alexandria via LeMat-Bulk, functional GGA-PBE.

a = 4.392 Å, b = 4.321 Å, c = 13.551 Å
α = 80.83°, β = 90.00°, γ = 90.00°
Fractional coordinates of all 6 atoms:
Cu (0.750, 0.478, 0.044)
K (0.250, 0.684, 0.631)
Cu (0.250, 0.522, 0.956)
Sr (0.750, 0.063, 0.874)
Sr (0.250, 0.937, 0.126)
K (0.750, 0.316, 0.369)

## Properties
- DOS at the Fermi energy (states/eV/f.u.) = 1.5
- SG = Cmcm, No. 63

***

Verdict on stability: arrangement 1 comes out at the bottom.